(1)
The following is a DFT calculation (PBE) of crystalline CsVGe2I8 at its relaxed geometry.

Calculated values
For the formation energy (no corrections), the calculation gives -0.542 eV per atom. Its density of states at the Fermi level is 0.772 states/eV per atom.

Unit cell a=7.6665 b=7.7888 c=10.3098 alpha=83.62 beta=75.43 gamma=64.24
Closest atoms and distances in Å follow each position.
Fractional positions:
1 Cs 0.0000 0.0000 0.0000  6 I 3.98-4.39
2 V 0.0000 0.0000 0.5000  6 I 2.76-2.80
3 Ge 0.2079 0.4952 0.6334  3 I 2.71-2.99
4 Ge 0.7921 0.5048 0.3666  3 I 2.71-2.99
5 I 0.0804 0.7040 0.3375  1 V 2.76
6 I 0.1625 0.1724 0.2822  1 V 2.79, 1 Ge 2.90
7 I 0.3010 0.3782 0.8741  1 Ge 2.71
8 I 0.3670 0.7910 0.5689  1 V 2.80, 1 Ge 2.99
9 I 0.6330 0.2090 0.4311  1 V 2.80, 1 Ge 2.99
10 I 0.6990 0.6218 0.1259  1 Ge 2.71
11 I 0.8375 0.8276 0.7178  1 V 2.79, 1 Ge 2.90
12 I 0.9196 0.2960 0.6625  1 V 2.76

***

(2)
The following is a DFT calculation (PBE) of crystalline CsVGeI6 at its relaxed geometry.

Calculated values
For the formation energy (no corrections), the calculation gives -0.645 eV per atom. Its density of states at the Fermi level is 0.831 states/eV per atom.

Unit cell a=7.5164 b=7.5164 c=8.7066 alpha=90.00 beta=90.00 gamma=120.00
Closest atoms and distances in Å follow each position.
Fractional positions:
1 Cs 0.0000 0.0000 0.0000  6 I 3.89
2 V 0.3333 0.6667 0.5000  6 I 2.79
3 Ge 0.6667 0.3333 0.5000  6 I 2.98
4 I 0.0202 0.3772 0.6853  1 V 2.79, 1 Ge 2.98
5 I 0.0202 0.6430 0.3147  1 V 2.79, 1 Ge 2.98
6 I 0.3570 0.3772 0.3147  1 V 2.79, 1 Ge 2.98
7 I 0.3570 0.9798 0.6853  1 V 2.79, 1 Ge 2.98
8 I 0.6228 0.6430 0.6853  1 V 2.79, 1 Ge 2.98
9 I 0.6228 0.9798 0.3147  1 V 2.79, 1 Ge 2.98

***

(3)
The following is a DFT calculation (PBE) of crystalline Cs2GeWI6 at its relaxed geometry.

Calculated values
For the formation energy (no corrections), the calculation gives -0.488 eV per atom. Its density of states at the Fermi level is 0.243 states/eV per atom.

Unit cell a=8.4044 b=8.4044 c=8.4044 alpha=120.17 beta=120.17 gamma=89.70
Closest atoms and distances in Å follow each position.
Fractional positions:
1 Cs 0.2500 0.7500 0.5000  12 I 4.19-4.20
2 Cs 0.7500 0.2500 0.5000  12 I 4.19-4.20
3 Ge 0.0000 0.0000 0.0000  6 I 3.07-3.09
4 W 0.5000 0.5000 0.0000  6 I 2.86-2.87
5 I 0.2593 0.2593 0.0000  1 W 2.87, 1 Ge 3.09
6 I 0.2590 0.2590 0.5180  1 W 2.86, 1 Ge 3.07
7 I 0.2590 0.7410 0.0000  1 W 2.86, 1 Ge 3.07
8 I 0.7410 0.2590 0.0000  1 W 2.86, 1 Ge 3.07
9 I 0.7407 0.7407 0.0000  1 W 2.87, 1 Ge 3.09
10 I 0.7410 0.7410 0.4820  1 W 2.86, 1 Ge 3.07